# 1
# TaBeAg2

A geometry-optimized TaBeAg2 structure (PBE, Alexandria).

POSCAR file:
```
TaBeAg2
1.0
2.7770 0.0000 0.0000
0.0000 4.7476 0.0000
0.0000 0.0000 4.9277
Ta Be Ag
1 1 2
Cartesian
0.0000 0.0000 0.0000 Ta
1.3885 2.3738 0.0000 Be
0.0000 2.3738 2.4639 Ag
1.3885 0.0000 2.4639 Ag
```

Summary:
**Space-group type**: Pmmm (47)

---

# 2
# La4SiGeO

A geometry-optimized La4SiGeO structure (PBE, Alexandria).

POSCAR file:
```
La4SiGeO
1.0
3.3940 -8.2131 0.0000
3.3940 8.2131 0.0000
0.0000 0.0000 6.7916
La Si Ge O
8 2 2 2
Cartesian
1.6970 4.1065 0.0000 La
1.6970 4.1065 3.3958 La
3.3940 7.0677 5.0937 La
3.3940 1.1824 5.0937 La
1.6970 -4.1065 0.0000 La
1.6970 -4.1065 3.3958 La
3.3940 -1.1824 1.6979 La
3.3940 -7.0677 1.6979 La
3.3940 6.3104 1.6979 Si
3.3940 -6.3104 5.0937 Si
3.3940 1.8789 1.6979 Ge
3.3940 -1.8789 5.0937 Ge
3.3940 4.0868 5.0937 O
3.3940 -4.0868 1.6979 O
```

Summary:
**Space-group type**: Cmcm (63)
**Formation energy (no corrections)**: -1.243 eV/atom

---

# 3
# La6Si3O

A geometry-optimized La6Si3O structure (PBE, Alexandria).

POSCAR file:
```
La6Si3O
1.0
5.9019 -7.3466 0.0000
5.9019 7.3466 0.0000
0.0000 0.0000 7.0672
La Si O
12 6 2
Cartesian
5.9019 6.6830 3.5336 La
4.0283 3.4349 3.7213 La
5.9019 4.1346 0.2676 La
4.0052 0.3614 0.2936 La
4.0052 -0.3614 3.8272 La
7.7755 3.4349 3.7213 La
4.0283 -3.4349 0.1877 La
7.7986 0.3614 0.2936 La
7.7986 -0.3614 3.8272 La
5.9019 -4.1346 3.8012 La
7.7755 -3.4349 0.1877 La
5.9019 -6.6830 0.0000 La
2.0381 1.5796 2.1988 Si
2.0381 -1.5796 5.7324 Si
5.9019 1.7171 5.3587 Si
5.9019 -1.7171 1.8251 Si
9.7657 1.5796 2.1988 Si
9.7657 -1.5796 5.7324 Si
5.9019 4.4566 2.6369 O
5.9019 -4.4566 6.1706 O
```

Summary:
**Space-group type**: Cmc2_1 (36)
**Formation energy (no corrections)**: -0.937 eV/atom

---

# 4
# MnCd2Te

A geometry-optimized MnCd2Te structure (PBE, Alexandria).

POSCAR file:
```
MnCd2Te
1.0
2.8353 -5.9731 0.0000
2.8353 5.9731 0.0000
-2.7631 0.0000 2.9082
Mn Cd Te
1 2 1
Cartesian
0.0000 0.0000 0.0000 Mn
1.4177 2.9866 0.0000 Cd
1.4177 -2.9866 0.0000 Cd
2.8353 0.0000 0.0000 Te
```

Summary:
**Space-group type**: C2/m (12)
**Formation energy (no corrections)**: 0.140 eV/atom

---

no.,DFT total energy (eV/atom),calculated volume (Å³/cell)
1,-4.85,65
2,-6.20,379
3,-6.02,613
4,-3.40,99